# 1
Entry from Alexandria: Cs3PmS3 after structural relaxation (PBE).

a b c (Å): 8.7524 15.0037 11.2790
angles (deg): 90.00 127.50 90.00
Last column: nearest neighbours and their distance in Å.
Fractional positions:
Cs 0.1150 0.1238 0.4746  4 S 3.51-3.66
Cs 0.1150 0.3762 0.9746  4 S 3.51-3.66
Cs 0.1673 0.1138 0.8820  5 S 3.46-3.72
Cs 0.1673 0.3862 0.3820  5 S 3.46-3.72
Cs 0.3234 0.6693 0.5365  4 S 3.54-3.90
Cs 0.3234 0.8307 0.0365  4 S 3.54-3.90
Cs 0.6766 0.1693 0.9635  4 S 3.54-3.90
Cs 0.6766 0.3307 0.4635  4 S 3.54-3.90
Cs 0.8327 0.6138 0.6180  5 S 3.46-3.72
Cs 0.8327 0.8862 0.1180  5 S 3.46-3.72
Cs 0.8850 0.6238 0.0254  4 S 3.51-3.66
Cs 0.8850 0.8762 0.5254  4 S 3.51-3.66
Pm 0.4500 0.0691 0.3379  4 S 2.64-2.72
Pm 0.4500 0.4309 0.8379  4 S 2.64-2.72
Pm 0.5500 0.5691 0.1621  4 S 2.64-2.72
Pm 0.5500 0.9309 0.6621  4 S 2.64-2.72
S 0.1838 0.1958 0.2001  1 Pm 2.65
S 0.1838 0.3042 0.7001  1 Pm 2.65
S 0.3281 0.5924 0.8615  2 Pm 2.72
S 0.3281 0.9076 0.3615  2 Pm 2.72
S 0.3590 0.5430 0.2713  1 Pm 2.64
S 0.3590 0.9570 0.7713  1 Pm 2.64
S 0.6410 0.0430 0.2287  1 Pm 2.64
S 0.6410 0.4570 0.7287  1 Pm 2.64
S 0.6719 0.0924 0.6385  2 Pm 2.72
S 0.6719 0.4076 0.1385  2 Pm 2.72
S 0.8162 0.6958 0.2999  1 Pm 2.65
S 0.8162 0.8042 0.7999  1 Pm 2.65

Calculated values
Calculated density in g/cm3: 3.62
Formation energy (no corrections) in meV per atom: -1431.9
Electronic total energy in eV/atom: -4.25
Energy above the lowest structure with this stoichiometry in kJ/mol of formula units: 6


# 2
Entry from Alexandria: CsPm4S6 after structural relaxation (PBE).

a b c (Å): 7.1459 7.1459 21.8738
angles (deg): 90.00 90.00 146.69
Last column: nearest neighbours and their distance in Å.
Fractional positions:
Cs 0.1491 0.8509 0.7500  6 S 3.41-3.46
Cs 0.8509 0.1491 0.2500  6 S 3.41-3.46
Pm 0.1029 0.8971 0.1325  5 S 2.66-2.94
Pm 0.1029 0.8971 0.3675  5 S 2.66-2.94
Pm 0.3697 0.6303 0.0402  6 S 2.70-2.93
Pm 0.3697 0.6303 0.4598  6 S 2.70-2.93
Pm 0.6303 0.3697 0.5402  6 S 2.70-2.93
Pm 0.6303 0.3697 0.9598  6 S 2.70-2.93
Pm 0.8971 0.1029 0.6325  5 S 2.66-2.94
Pm 0.8971 0.1029 0.8675  5 S 2.66-2.94
S 0.0000 0.0000 0.0000  4 Pm 2.86
S 0.0000 0.0000 0.5000  4 Pm 2.86
S 0.1521 0.8479 0.2500  2 Pm 2.66
S 0.2698 0.7302 0.5782  5 Pm 2.92-2.94
S 0.2698 0.7302 0.9218  5 Pm 2.92-2.94
S 0.4702 0.5298 0.1465  3 Pm 2.70-2.76
S 0.4702 0.5298 0.3535  3 Pm 2.70-2.76
S 0.5298 0.4702 0.6465  3 Pm 2.70-2.76
S 0.5298 0.4702 0.8535  3 Pm 2.70-2.76
S 0.7302 0.2698 0.0782  5 Pm 2.92-2.94
S 0.7302 0.2698 0.4218  5 Pm 2.92-2.94
S 0.8479 0.1521 0.7500  2 Pm 2.66

Calculated values
Calculated density in g/cm3: 4.90
Formation energy (no corrections) in meV per atom: -1922.1
Electronic total energy in eV/atom: -5.98


# 3
Entry from Alexandria: Cs3PmS3 after structural relaxation (PBE).

a b c (Å): 8.8482 8.8482 8.6207
angles (deg): 95.86 95.86 114.23
Last column: nearest neighbours and their distance in Å.
Fractional positions:
Cs 0.1846 0.8154 0.0000  6 S 3.50-3.92
Cs 0.2504 0.7496 0.5000  4 S 3.58-3.78
Cs 0.3741 0.3741 0.1376  3 S 3.37-3.67, 1 Cs 3.69
Cs 0.6259 0.6259 0.8624  3 S 3.37-3.67, 1 Cs 3.69
Cs 0.7496 0.2504 0.5000  4 S 3.58-3.78
Cs 0.8154 0.1846 0.0000  6 S 3.50-3.92
Pm 0.1798 0.1798 0.6413  4 S 2.63-2.75
Pm 0.8202 0.8202 0.3587  4 S 2.63-2.75
S 0.0931 0.0931 0.3191  2 Pm 2.71-2.75
S 0.1665 0.4556 0.7716  1 Pm 2.63
S 0.4556 0.1665 0.7716  1 Pm 2.63
S 0.5444 0.8335 0.2284  1 Pm 2.63
S 0.8335 0.5444 0.2284  1 Pm 2.63
S 0.9069 0.9069 0.6809  2 Pm 2.71-2.75

Calculated values
Calculated density in g/cm3: 3.52
Formation energy (no corrections) in meV per atom: -1440.6
Electronic total energy in eV/atom: -4.25
Energy above the lowest structure with this stoichiometry in kJ/mol of formula units: 0


# 4
Entry from Alexandria: CsPm6S8 after structural relaxation (PBE).

a b c (Å): 11.0139 11.0139 4.0989
angles (deg): 90.00 90.00 120.00
Last column: nearest neighbours and their distance in Å.
Fractional positions:
Cs 0.0000 0.0000 0.0000  6 S 3.93, 2 Cs 4.10
Pm 0.1396 0.6621 0.2516  6 S 2.80-2.94
Pm 0.3379 0.4775 0.2516  6 S 2.80-2.94
Pm 0.4775 0.1396 0.7484  6 S 2.80-2.94
Pm 0.5225 0.8604 0.2516  6 S 2.80-2.94
Pm 0.6621 0.5225 0.7484  6 S 2.80-2.94
Pm 0.8604 0.3379 0.7484  6 S 2.80-2.94
S 0.0470 0.3661 0.2476  4 Pm 2.80-2.89
S 0.3192 0.9530 0.2476  4 Pm 2.80-2.89
S 0.3333 0.6667 0.7519  6 Pm 2.94
S 0.3661 0.3192 0.7524  4 Pm 2.80-2.89
S 0.6339 0.6808 0.2476  4 Pm 2.80-2.89
S 0.6667 0.3333 0.2481  6 Pm 2.94
S 0.6808 0.0470 0.7524  4 Pm 2.80-2.89
S 0.9530 0.6339 0.7524  4 Pm 2.80-2.89

Calculated values
Calculated density in g/cm3: 4.86
Formation energy (no corrections) in meV per atom: -1887.9
Electronic total energy in eV/atom: -6.05


# 5
Entry from Alexandria: Cs5PmS5 after structural relaxation (PBE).

a b c (Å): 8.6745 8.6745 9.2150
angles (deg): 107.55 107.55 44.54
Last column: nearest neighbours and their distance in Å.
Fractional positions:
Cs 0.0000 0.0000 0.0000  4 S 3.35-3.38
Cs 0.3050 0.3050 0.1925  4 S 3.41-3.63
Cs 0.3292 0.3292 0.6636  5 S 3.37-3.64
Cs 0.6708 0.6708 0.3364  5 S 3.37-3.64
Cs 0.6950 0.6950 0.8075  4 S 3.41-3.63
Pm 0.0000 0.0000 0.5000  4 S 2.78-2.82
S 0.1322 0.1322 0.3666  1 Pm 2.78
S 0.1354 0.1354 0.7864  1 Pm 2.82
S 0.5000 0.5000 0.5000  2 Pm 3.29, 4 Cs 3.47-3.53
S 0.8646 0.8646 0.2136  1 Pm 2.82
S 0.8678 0.8678 0.6334  1 Pm 2.78

Calculated values
Calculated density in g/cm3: 3.50
Formation energy (no corrections) in meV per atom: -1037.2
Electronic total energy in eV/atom: -3.73


# 6
Entry from Alexandria: Cs2Pm2SbS6 after structural relaxation (PBE).

a b c (Å): 7.0680 7.0680 8.6237
angles (deg): 98.14 98.14 119.62
Last column: nearest neighbours and their distance in Å.
Fractional positions:
Cs 0.1698 0.8302 0.0000  6 S 3.53-3.60
Cs 0.8302 0.1698 0.0000  6 S 3.53-3.60
Pm 0.3332 0.6668 0.5000  6 S 2.83-2.84
Pm 0.6668 0.3332 0.5000  6 S 2.83-2.84
Sb 0.0000 0.0000 0.5000  6 S 2.67-2.69
S 0.0612 0.3783 0.6789  1 Sb 2.69, 2 Pm 2.83-2.84
S 0.2527 0.2527 0.3223  1 Sb 2.67, 2 Pm 2.84
S 0.3783 0.0612 0.6789  1 Sb 2.69, 2 Pm 2.83-2.84
S 0.6217 0.9388 0.3211  1 Sb 2.69, 2 Pm 2.83-2.84
S 0.7473 0.7473 0.6777  1 Sb 2.67, 2 Pm 2.84
S 0.9388 0.6217 0.3211  1 Sb 2.69, 2 Pm 2.83-2.84

Calculated values
Calculated density in g/cm3: 4.02
Formation energy (no corrections) in meV per atom: -1352.3
Electronic total energy in eV/atom: -5.00